Record 1
The following is a PBE-GGA calculation of a geometry-optimized HoTmFeSi2 structure, from the Open Quantum Materials Database.

Summary:
The value obtained for the total DFT energy (no corrections) is -6.36 eV per atom. Its total magnetic moment is 0.1 μB/f.u.

```
data_HoTmFeSi2
_chemical_formula_sum 'Ho4 Tm4 Fe4 Si8'
_cell_length_a 10.3712
_cell_length_b 4.1121
_cell_length_c 9.8617
_cell_angle_alpha 90.00
_cell_angle_beta 119.28
_cell_angle_gamma 90.00
_symmetry_space_group_name_H-M 'C 1 2/m 1'
_symmetry_Int_Tables_number 12
loop_
_symmetry_equiv_pos_as_xyz
'x,y,z'
'-x,-y,-z'
'-x,y,-z'
'x,-y,z'
'x+1/2,y+1/2,z'
'-x+1/2,-y+1/2,-z'
'-x+1/2,y+1/2,-z'
'x+1/2,-y+1/2,z'
loop_
_atom_site_label
_atom_site_type_symbol
_atom_site_fract_x
_atom_site_fract_y
_atom_site_fract_z
Ho1 Ho 0.0021 0.0000 0.1733
Tm1 Tm 0.1875 0.0000 0.6084
Fe1 Fe 0.2286 0.5000 0.8752
Si1 Si 0.0012 0.5000 0.3743
Si2 Si 0.1536 0.5000 0.0641
```

***

Record 2
The following is a PBE-GGA calculation of a geometry-optimized LaCuBAu structure, from the Open Quantum Materials Database.

Summary:
The value obtained for the total DFT energy (no corrections) is -4.47 eV per atom. Its total magnetic moment is 0.0 μB/f.u. Its relative energy among the computed polymorphs is 0.00 eV/f.u.

```
data_LaCuBAu
_chemical_formula_sum 'La4 Cu4 B4 Au4'
_cell_length_a 6.5410
_cell_length_b 6.5410
_cell_length_c 6.5410
_cell_angle_alpha 90.00
_cell_angle_beta 90.00
_cell_angle_gamma 90.00
_symmetry_space_group_name_H-M 'F -4 3 m'
_symmetry_Int_Tables_number 216
_symmetry_space_group_name_Hall 'F -4 2 3'
loop_
_atom_site_label
_atom_site_type_symbol
_atom_site_fract_x
_atom_site_fract_y
_atom_site_fract_z
La1 La 0.0000 0.0000 0.0000
Cu1 Cu 0.2500 0.2500 0.2500
B1 B 0.2500 0.2500 0.7500
Au1 Au 0.0000 0.0000 0.5000
```

***

Record 3
The following is a PBE-GGA calculation of a geometry-optimized BaNbSi structure, from the Open Quantum Materials Database.

Summary:
The value obtained for the total DFT energy (no corrections) is -4.23 eV per atom. Its total magnetic moment is 3.0 μB/f.u.

```
data_BaNbSi
_chemical_formula_sum 'Ba4 Nb4 Si4'
_cell_length_a 7.2792
_cell_length_b 7.2792
_cell_length_c 7.2792
_cell_angle_alpha 90.00
_cell_angle_beta 90.00
_cell_angle_gamma 90.00
_symmetry_space_group_name_H-M 'F -4 3 m'
_symmetry_Int_Tables_number 216
_symmetry_space_group_name_Hall 'F -4 2 3'
loop_
_atom_site_label
_atom_site_type_symbol
_atom_site_fract_x
_atom_site_fract_y
_atom_site_fract_z
Ba1 Ba 0.0000 0.0000 0.0000
Nb1 Nb 0.2500 0.2500 0.7500
Si1 Si 0.2500 0.2500 0.2500
```

***

Record 4
The following is a PBE-GGA calculation of a geometry-optimized Y3SnPd4 structure, from the Open Quantum Materials Database.

Summary:
The value obtained for the total DFT energy (no corrections) is -6.36 eV per atom. Its total magnetic moment is 0.0 μB/f.u.

```
data_Y3SnPd4
_chemical_formula_sum 'Y3 Sn1 Pd4'
_cell_length_a 5.5488
_cell_length_b 4.4972
_cell_length_c 6.8410
_cell_angle_alpha 90.00
_cell_angle_beta 90.64
_cell_angle_gamma 90.00
_symmetry_space_group_name_H-M 'P 1 m 1'
_symmetry_Int_Tables_number 6
loop_
_symmetry_equiv_pos_as_xyz
'x,y,z'
'x,-y,z'
loop_
_atom_site_label
_atom_site_type_symbol
_atom_site_fract_x
_atom_site_fract_y
_atom_site_fract_z
Y1 Y 0.0000 0.0000 0.0000
Y2 Y 0.2228 0.0000 0.4965
Y3 Y 0.7141 0.5000 0.6362
Sn1 Sn 0.4919 0.5000 0.1485
Pd1 Pd 0.0087 0.5000 0.2756
Pd2 Pd 0.2089 0.5000 0.7839
Pd3 Pd 0.5076 0.0000 0.8842
Pd4 Pd 0.6986 0.0000 0.3433
```

***

Record 5
The following is a PBE-GGA calculation of a geometry-optimized Co structure, from the Open Quantum Materials Database.

Summary:
The value obtained for the total DFT energy (no corrections) is -6.88 eV per atom. Its total magnetic moment is 0.0 μB/f.u. Its relative energy among the computed polymorphs is 0.23 eV/f.u. For the formation energy, the calculation gives 0.231 eV/atom.

```
data_Co
_chemical_formula_sum 'Co4'
_cell_length_a 2.4223
_cell_length_b 4.3704
_cell_length_c 3.9954
_cell_angle_alpha 90.00
_cell_angle_beta 90.00
_cell_angle_gamma 90.00
_symmetry_space_group_name_H-M 'C m c m'
_symmetry_Int_Tables_number 63
_symmetry_space_group_name_Hall '-C 2c 2'
loop_
_atom_site_label
_atom_site_type_symbol
_atom_site_fract_x
_atom_site_fract_y
_atom_site_fract_z
Co1 Co 0.0000 0.1624 0.2500
```

***

Record 6
The following is a PBE-GGA calculation of a geometry-optimized Fe2Re3 structure, from the Open Quantum Materials Database.

Summary:
The value obtained for the total DFT energy (no corrections) is -10.80 eV per atom. Its total magnetic moment is 0.0 μB/f.u. Its relative energy among the computed polymorphs is 0.00 eV/f.u. For the formation energy, the calculation gives -0.018 eV/atom.

```
data_Fe2Re3
_chemical_formula_sum 'Fe8 Re12'
_cell_length_a 6.3775
_cell_length_b 6.3775
_cell_length_c 6.3775
_cell_angle_alpha 90.00
_cell_angle_beta 90.00
_cell_angle_gamma 90.00
_symmetry_space_group_name_H-M 'P 41 3 2'
_symmetry_Int_Tables_number 213
_symmetry_space_group_name_Hall 'P 4bd 2ab 3'
loop_
_atom_site_label
_atom_site_type_symbol
_atom_site_fract_x
_atom_site_fract_y
_atom_site_fract_z
Fe1 Fe 0.0589 0.0589 0.0589
Re1 Re 0.0520 0.8750 0.6980
```

***

Record 7
The following is a PBE-GGA calculation of a geometry-optimized HfZrGaCo structure, from the Open Quantum Materials Database.

Summary:
The value obtained for the total DFT energy (no corrections) is -7.14 eV per atom. Its total magnetic moment is 2.0 μB/f.u. Its relative energy among the computed polymorphs is 0.00 eV/f.u.

```
data_HfZrGaCo
_chemical_formula_sum 'Hf4 Zr4 Ga4 Co4'
_cell_length_a 6.4884
_cell_length_b 6.4884
_cell_length_c 6.4884
_cell_angle_alpha 90.00
_cell_angle_beta 90.00
_cell_angle_gamma 90.00
_symmetry_space_group_name_H-M 'F -4 3 m'
_symmetry_Int_Tables_number 216
_symmetry_space_group_name_Hall 'F -4 2 3'
loop_
_atom_site_label
_atom_site_type_symbol
_atom_site_fract_x
_atom_site_fract_y
_atom_site_fract_z
Hf1 Hf 0.0000 0.0000 0.0000
Zr1 Zr 0.2500 0.2500 0.2500
Ga1 Ga 0.0000 0.0000 0.5000
Co1 Co 0.2500 0.2500 0.7500
```

***

Record 8
The following is a PBE-GGA calculation of a geometry-optimized NdTaAsO structure, from the Open Quantum Materials Database.

Summary:
The value obtained for the total DFT energy (no corrections) is -8.14 eV per atom. Its total magnetic moment is 0.0 μB/f.u. Its relative energy among the computed polymorphs is 0.83 eV/f.u.

```
data_NdTaAsO
_chemical_formula_sum 'Nd2 Ta2 As2 O2'
_cell_length_a 4.1588
_cell_length_b 4.8997
_cell_length_c 7.0971
_cell_angle_alpha 90.00
_cell_angle_beta 90.00
_cell_angle_gamma 90.00
_symmetry_space_group_name_H-M 'P m c 21'
_symmetry_Int_Tables_number 26
loop_
_symmetry_equiv_pos_as_xyz
'x,y,z'
'-x,-y,z+1/2'
'-x,y,z'
'x,-y,z+1/2'
loop_
_atom_site_label
_atom_site_type_symbol
_atom_site_fract_x
_atom_site_fract_y
_atom_site_fract_z
Nd1 Nd 0.0000 0.1728 0.0000
Ta1 Ta 0.5000 0.3467 0.3482
As1 As 0.5000 0.1610 0.6964
O1 O 0.0000 0.3477 0.3466
```

***

Record 9
The following is a PBE-GGA calculation of a geometry-optimized MgNbSbMo structure, from the Open Quantum Materials Database.

Summary:
The value obtained for the total DFT energy (no corrections) is -6.28 eV per atom. Its total magnetic moment is 0.4 μB/f.u. Its relative energy among the computed polymorphs is 1.07 eV/f.u.

```
data_MgNbSbMo
_chemical_formula_sum 'Mg4 Nb4 Sb4 Mo4'
_cell_length_a 6.6289
_cell_length_b 6.6289
_cell_length_c 6.6289
_cell_angle_alpha 90.00
_cell_angle_beta 90.00
_cell_angle_gamma 90.00
_symmetry_space_group_name_H-M 'F -4 3 m'
_symmetry_Int_Tables_number 216
_symmetry_space_group_name_Hall 'F -4 2 3'
loop_
_atom_site_label
_atom_site_type_symbol
_atom_site_fract_x
_atom_site_fract_y
_atom_site_fract_z
Mg1 Mg 0.0000 0.0000 0.0000
Nb1 Nb 0.2500 0.2500 0.2500
Sb1 Sb 0.0000 0.0000 0.5000
Mo1 Mo 0.2500 0.2500 0.7500
```

***

Record 10
The following is a PBE-GGA calculation of a geometry-optimized Pm2Lu2O5 structure, from the Open Quantum Materials Database.

Summary:
The value obtained for the total DFT energy (no corrections) is -7.55 eV per atom. Its total magnetic moment is 0.9 μB/f.u. Its relative energy among the computed polymorphs is 1.15 eV/f.u.

```
data_Pm2Lu2O5
_chemical_formula_sum 'Pm2 Lu2 O5'
_cell_length_a 3.9096
_cell_length_b 3.9096
_cell_length_c 9.6090
_cell_angle_alpha 90.00
_cell_angle_beta 90.00
_cell_angle_gamma 90.00
_symmetry_space_group_name_H-M 'P 4/m m m'
_symmetry_Int_Tables_number 123
_symmetry_space_group_name_Hall '-P 4 2'
loop_
_atom_site_label
_atom_site_type_symbol
_atom_site_fract_x
_atom_site_fract_y
_atom_site_fract_z
Pm1 Pm 0.0000 0.0000 0.2406
Lu1 Lu 0.5000 0.5000 0.0000
Lu2 Lu 0.5000 0.5000 0.5000
O1 O 0.0000 0.0000 0.5000
O2 O 0.0000 0.5000 0.1344
```